[1]
Density functional theory data (GGA-PBE) for LiTePt2S after structural relaxation.

a b c (Å): 4.9691 4.9691 5.3028
angles (deg): 90.00 90.00 90.00
Last column: nearest neighbours and their distance in Å.
Space group P4/mmm (No. 123)
Symmetry-distinct sites (fractional):
1 Li 0.0000 0.0000 0.0000 [1 per cell]  4 S 3.51, 8 Pt 3.63
2 Te 0.5000 0.5000 0.5000 [1 per cell]  4 Pt 2.48, 2 S 2.65
3 Pt 0.0000 0.5000 0.5000 [2 per cell]  2 Te 2.48
4 S 0.5000 0.5000 0.0000 [1 per cell]  2 Te 2.65

Results
Raw formation energy   0.419 eV/atom
Calculated volume   26.187 Å³ per atom
Uncorrected energy   -19.17 eV/cell
Density of states at the Fermi level   3.9 states/eV/cell

[2]
Density functional theory data (GGA-PBE) for LiY2PtS after structural relaxation.

a b c (Å): 5.1736 5.1736 4.6021
angles (deg): 90.00 90.00 90.00
Last column: nearest neighbours and their distance in Å.
Space group P4/mmm (No. 123)
Symmetry-distinct sites (fractional):
1 Li 0.0000 0.0000 0.0000 [1 per cell]  8 Y 3.46, 4 Pt 3.66
2 Y 0.0000 0.5000 0.5000 [2 per cell]  2 S 2.59
3 Pt 0.5000 0.5000 0.0000 [1 per cell]  2 S 2.30
4 S 0.5000 0.5000 0.5000 [1 per cell]  2 Pt 2.30

Results
Raw formation energy   -0.575 eV/atom
Calculated volume   24.636 Å³ per atom
Uncorrected energy   -27.89 eV/cell
Density of states at the Fermi level   4.8 states/eV/cell

[3]
Density functional theory data (GGA-PBE) for Li4Zr3PtS8 after structural relaxation.

a b c (Å): 13.0290 7.0961 7.4443
angles (deg): 90.00 122.34 90.00
Last column: nearest neighbours and their distance in Å.
Space group C2/m (No. 12)
Symmetry-distinct sites (fractional):
1 Li 0.0000 0.0000 0.0000 [2 per cell]  2 S 2.37
2 Li 0.0000 0.5000 0.0000 [2 per cell]  4 S 2.55
3 Li 0.2500 0.2500 0.0000 [4 per cell]  4 S 2.54-2.61
4 Zr 0.0000 0.0000 0.5000 [2 per cell]  6 S 2.60-2.64
5 Zr 0.2500 0.2500 0.5000 [4 per cell]  6 S 2.59-2.67
6 Pt 0.0000 0.5000 0.5000 [2 per cell]  4 S 2.39
7 S 0.0082 0.2716 0.2725 [8 per cell]  1 Pt 2.39, 1 Li 2.55, 2 Zr 2.60-2.67
8 S 0.2150 0.0000 0.2199 [4 per cell]  3 Li 2.37-2.61, 2 Zr 2.59
9 S 0.2392 0.0000 0.7454 [4 per cell]  2 Li 2.54, 3 Zr 2.60-2.64

Results
Raw formation energy   -1.284 eV/atom
Calculated volume   18.172 Å³ per atom
Uncorrected energy   -185.82 eV/cell
Density of states at the Fermi level   10.2 states/eV/cell

[4]
Density functional theory data (GGA-PBE) for Li3Sb2Pt4 after structural relaxation.

a b c (Å): 11.7740 8.3199 6.6070
angles (deg): 90.00 94.12 90.00
Last column: nearest neighbours and their distance in Å.
Space group C2/c (No. 15)
Symmetry-distinct sites (fractional):
1 Li 0.0000 0.0468 0.2500 [4 per cell]  8 Pt 2.73-2.92, 2 Sb 2.81
2 Li 0.0954 0.4236 0.3853 [8 per cell]  3 Pt 2.66-2.75, 1 Li 2.77, 1 Sb 2.87
3 Sb 0.2247 0.1415 0.1965 [8 per cell]  5 Pt 2.64-2.76, 2 Li 2.81-2.87
4 Pt 0.0694 0.2577 0.9270 [8 per cell]  2 Sb 2.64-2.74, 4 Li 2.69-2.92, 3 Pt 2.74-2.81
5 Pt 0.1489 0.1440 0.5629 [8 per cell]  3 Sb 2.64-2.76, 3 Li 2.66-2.73, 2 Pt 2.74-2.81

Results
Raw formation energy   -0.483 eV/atom
Calculated volume   17.932 Å³ per atom
Relative energy among the computed polymorphs   76.0 meV/atom
Uncorrected energy   -169.98 eV/cell
Density of states at the Fermi level   13.6 states/eV/cell

[5]
Density functional theory data (GGA-PBE) for Li2SbPt3 after structural relaxation.

a b c (Å): 5.4822 5.4822 12.6355
angles (deg): 90.00 90.00 120.00
Last column: nearest neighbours and their distance in Å.
Space group R-3m (No. 166, hexagonal axes)
Symmetry-distinct sites (fractional):
1 Li 0.0000 0.0000 0.1170 [6 per cell]  1 Li 2.96, 9 Pt 3.11-3.16, 3 Sb 3.23
2 Sb 0.0000 0.0000 0.5000 [3 per cell]  6 Pt 2.63
3 Pt 0.0000 0.5000 0.0000 [9 per cell]  2 Sb 2.63, 4 Pt 2.74

Results
Raw formation energy   -0.502 eV/atom
Calculated volume   18.271 Å³ per atom
Uncorrected energy   -87.25 eV/cell
Density of states at the Fermi level   8.5 states/eV/cell

[6]
Density functional theory data (GGA-PBE) for LiSb2Pt2 after structural relaxation.

a b c (Å): 7.7149 7.7149 3.4224
angles (deg): 90.00 90.00 90.00
Last column: nearest neighbours and their distance in Å.
Space group P4/mbm (No. 127)
Symmetry-distinct sites (fractional):
1 Li 0.0000 0.0000 0.0000 [2 per cell]  4 Sb 2.89
2 Sb 0.1613 0.3387 0.0000 [4 per cell]  6 Pt 2.79-2.87, 2 Li 2.89
3 Pt 0.1365 0.6365 0.5000 [4 per cell]  6 Sb 2.79-2.87, 1 Pt 2.98

Results
Raw formation energy   -0.268 eV/atom
Calculated volume   20.370 Å³ per atom
Relative energy among the computed polymorphs   98.3 meV/atom
Uncorrected energy   -47.17 eV/cell
Density of states at the Fermi level   5.1 states/eV/cell

[7]
Density functional theory data (GGA-PBE) for Li8Sb2Pt after structural relaxation.

a b c (Å): 4.5939 6.2543 13.6122
angles (deg): 90.00 90.00 90.00
Last column: nearest neighbours and their distance in Å.
Space group Immm (No. 71)
Symmetry-distinct sites (fractional):
1 Li 0.0000 0.0000 0.1817 [4 per cell]  8 Li 2.80-2.93, 4 Sb 3.01-3.13
2 Li 0.0000 0.2424 0.3546 [8 per cell]  1 Pt 2.55, 2 Sb 2.78, 3 Li 2.80-2.85
3 Li 0.0000 0.2523 0.0000 [4 per cell]  2 Pt 2.79, 2 Sb 2.85, 7 Li 2.93-3.10
4 Sb 0.0000 0.5000 0.1758 [4 per cell]  10 Li 2.78-3.01
5 Pt 0.0000 0.5000 0.5000 [2 per cell]  8 Li 2.55-2.79

Results
Raw formation energy   -0.534 eV/atom
Calculated volume   17.777 Å³ per atom
Uncorrected energy   -70.93 eV/cell
Density of states at the Fermi level   2.6 states/eV/cell

[8]
Density functional theory data (GGA-PBE) for Li4SbPt after structural relaxation.

a b c (Å): 7.0305 7.0305 7.0305
angles (deg): 90.00 90.00 90.00
Last column: nearest neighbours and their distance in Å.
Space group F-43m (No. 216)
Symmetry-distinct sites (fractional):
1 Li 0.1236 0.1236 0.1236 [16 per cell]  6 Li 2.46-2.51
2 Sb 0.0000 0.0000 0.5000 [4 per cell]  12 Li 2.92, 4 Pt 3.04
3 Pt 0.2500 0.2500 0.7500 [4 per cell]  12 Li 2.91, 4 Sb 3.04

Results
Raw formation energy   -0.313 eV/atom
Calculated volume   14.479 Å³ per atom
Relative energy among the computed polymorphs   249.8 meV/atom
Uncorrected energy   -78.79 eV/cell
Density of states at the Fermi level   5.0 states/eV/cell

[9]
Density functional theory data (GGA-PBE) for Li2Sb2Pt after structural relaxation.

a b c (Å): 6.6545 6.6545 4.1309
angles (deg): 90.00 90.00 90.00
Last column: nearest neighbours and their distance in Å.
Space group P4/mbm (No. 127)
Symmetry-distinct sites (fractional):
1 Li 0.1388 0.3612 0.0000 [4 per cell]  2 Pt 2.57, 1 Li 2.61, 2 Sb 2.71
2 Sb 0.1744 0.6744 0.5000 [4 per cell]  6 Li 2.71-2.94
3 Pt 0.0000 0.0000 0.0000 [2 per cell]  4 Li 2.57

Results
Raw formation energy   -0.242 eV/atom
Calculated volume   18.293 Å³ per atom
Relative energy among the computed polymorphs   218.7 meV/atom
Uncorrected energy   -38.65 eV/cell
Density of states at the Fermi level   3.0 states/eV/cell

[10]
Density functional theory data (GGA-PBE) for Li3Sb2Pt4 after structural relaxation.

a b c (Å): 8.3446 4.1626 8.4468
angles (deg): 90.00 101.33 90.00
Last column: nearest neighbours and their distance in Å.
Space group C2/m (No. 12)
Symmetry-distinct sites (fractional):
1 Li 0.0000 0.0000 0.0000 [2 per cell]  8 Pt 2.71-2.78, 4 Sb 2.99
2 Li 0.1572 0.5000 0.5611 [4 per cell]  3 Li 2.62-2.90, 4 Pt 2.70-2.87, 1 Sb 2.81
3 Sb 0.1641 0.5000 0.2298 [4 per cell]  7 Pt 2.73-2.87, 5 Li 2.81-2.99
4 Pt 0.0044 0.0000 0.6714 [4 per cell]  6 Li 2.70-2.99, 3 Sb 2.73, 3 Pt 2.88-2.99
5 Pt 0.1659 0.5000 0.9030 [4 per cell]  4 Li 2.71-2.87, 4 Sb 2.76-2.87, 4 Pt 2.84-2.99

Results
Raw formation energy   -0.559 eV/atom
Calculated volume   15.982 Å³ per atom
Relative energy among the computed polymorphs   0.0 meV/atom
Uncorrected energy   -86.36 eV/cell
Density of states at the Fermi level   4.8 states/eV/cell

[11]
Density functional theory data (GGA-PBE) for Li2Sb2Pt3 after structural relaxation.

a b c (Å): 4.5487 4.5628 7.2550
angles (deg): 108.16 90.48 119.14
Last column: nearest neighbours and their distance in Å.
Space group P-1 (No. 2)
Symmetry-distinct sites (fractional):
1 Li 0.1348 0.2733 0.4062 [2 per cell]  4 Pt 2.71-3.02, 3 Sb 2.88-2.90, 3 Li 2.89-2.96
2 Sb 0.4108 0.8236 0.2325 [2 per cell]  4 Pt 2.65-2.88, 3 Li 2.88-2.90
3 Pt 0.0000 0.0000 0.0000 [1 per cell]  2 Li 2.75, 6 Pt 2.93-2.96, 2 Sb 3.04
4 Pt 0.2680 0.5390 0.8064 [2 per cell]  4 Sb 2.65-2.88, 2 Li 2.71-2.96, 3 Pt 2.93-2.96

Results
Raw formation energy   -0.515 eV/atom
Calculated volume   17.517 Å³ per atom
Uncorrected energy   -33.80 eV/cell
Density of states at the Fermi level   2.0 states/eV/cell

[12]
Density functional theory data (GGA-PBE) for Li2SbPt4 after structural relaxation.

a b c (Å): 6.1589 6.1589 5.9433
angles (deg): 90.00 90.00 90.00
Last column: nearest neighbours and their distance in Å.
Space group I4/mmm (No. 139)
Symmetry-distinct sites (fractional):
1 Li 0.0000 0.5000 0.0000 [4 per cell]  8 Pt 2.64
2 Sb 0.0000 0.0000 0.0000 [2 per cell]  8 Pt 2.64
3 Pt 0.2500 0.2500 0.2500 [8 per cell]  4 Li 2.64, 2 Sb 2.64

Results
Raw formation energy   -0.363 eV/atom
Calculated volume   16.103 Å³ per atom
Uncorrected energy   -69.31 eV/cell
Density of states at the Fermi level   3.8 states/eV/cell